Record 1
VASP calculation (PBE) on a geometry-optimized Cs2ErHg2Te4 structure.

Properties
**Electronic total energy**: -2.9613 eV per atom
**Space group**: No. 12
**Raw formation energy**: -801 meV/atom
**N(E_F)**: 3.67 states/eV/cell

```
Cs2ErHg2Te4
1.0
8.9112 -2.2713 0.0000
8.9112 2.2713 0.0000
-3.5218 0.0000 8.5712
Cs Er Hg Te
2 1 2 4
Cartesian
2.0411 0.0000 0.6811
12.2595 0.0000 7.8901
-1.7609 0.0000 4.2856
3.8472 0.0000 4.2679
10.4535 0.0000 4.3034
0.7419 0.0000 6.0618
6.0820 0.0000 6.1477
8.2187 0.0000 2.4235
13.5587 0.0000 2.5094
```

Record 2
VASP calculation (PBE) on a geometry-optimized Cs2HoErSe4 structure.

Properties
**Electronic total energy**: -4.8186 eV per atom
**Space group**: No. 10
**Raw formation energy**: -1720 meV/atom
**N(E_F)**: 0.00 states/eV/cell

```
Cs2HoErSe4
1.0
7.3485 0.0000 0.0000
0.0000 4.2435 0.0000
-2.4490 0.0000 8.3653
Cs Ho Er Se
2 1 1 4
Cartesian
0.0000 0.0000 0.0000
3.6742 2.1218 0.0000
-1.2245 2.1218 4.1827
2.4497 0.0000 4.1827
0.0063 0.0000 5.7261
1.2315 2.1218 2.6420
3.6680 2.1218 5.7233
4.8932 0.0000 2.6392
```

Record 3
VASP calculation (PBE) on a geometry-optimized Cs4Ho3ErSe8 structure.

Properties
**Electronic total energy**: -4.8230 eV per atom
**Space group**: No. 12
**Raw formation energy**: -1724 meV/atom
**N(E_F)**: 0.00 states/eV/cell

```
Cs4Ho3ErSe8
1.0
7.3566 -4.2464 0.0000
7.3566 4.2464 0.0000
-4.9043 0.0000 8.3716
Cs Ho Er Se
4 3 1 8
Cartesian
0.0000 0.0000 0.0000
3.6783 2.1232 0.0000
3.6783 -2.1232 0.0000
7.3566 0.0000 0.0000
-2.4521 0.0000 4.1858
1.2261 2.1232 4.1858
1.2261 -2.1232 4.1858
4.9044 0.0000 4.1858
0.0060 0.0000 5.7322
3.6854 2.1205 5.7306
2.4595 0.0000 2.6446
6.1234 2.1205 2.6410
3.6854 -2.1205 5.7306
7.3493 0.0000 5.7269
6.1234 -2.1205 2.6410
9.8028 0.0000 2.6394
```

Record 4
VASP calculation (PBE) on a geometry-optimized Cs3HoEr2Se6 structure.

Properties
**Electronic total energy**: -4.8173 eV per atom
**Space group**: No. 12
**Raw formation energy**: -1720 meV/atom
**N(E_F)**: 0.00 states/eV/cell

```
Cs3HoEr2Se6
1.0
3.6718 -6.3599 0.0000
3.6718 6.3599 0.0000
-2.4470 0.0000 8.3654
Cs Ho Er Se
3 1 2 6
Cartesian
0.0000 0.0000 0.0000
3.6718 2.1187 0.0000
3.6718 -2.1187 0.0000
2.4483 0.0000 4.1827
2.4483 4.2399 4.1827
2.4483 -4.2399 4.1827
1.2207 2.1260 2.6413
-0.0064 0.0000 5.7239
1.2207 -2.1260 2.6413
3.6758 2.1260 5.7240
4.9029 0.0000 2.6415
3.6758 -2.1260 5.7240
```